(1)
Computed, not measured: crystalline GaPdI at its relaxed geometry at the PBE level of DFT.

For the total magnetization, the calculation gives 0.00 μB per cell. The symmetry is C2/m. The calculation puts the theoretical density at 6.45 Mg/m³. The value obtained for the total energy is -3.482 eV per atom.

```
GaPdI
1.0
4.041 0.000 0.000
0.000 7.118 0.099
-2.020 -2.751 5.389
I Pd Ga
2 2 2
direct
0.408 0.698 0.816 I
0.592 0.302 0.184 I
0.246 0.255 0.492 Pd
0.754 0.745 0.508 Pd
0.821 0.138 0.642 Ga
0.179 0.862 0.358 Ga
```

(2)
Computed, not measured: crystalline DyBRuRh2 at its relaxed geometry at the PBE level of DFT.

For the total magnetization, the calculation gives 0.00 μB per cell. The symmetry is P4/mmm. The calculation puts the theoretical density at 10.75 Mg/m³. The formation energy comes out at -0.626 eV/atom.

```
DyBRuRh2
1.0
-2.612 -2.425 -2.271
3.251 -1.407 -2.237
0.528 -3.129 2.736
Dy B Ru Rh
1 1 1 2
direct
0.500 0.500 0.500 Dy
0.000 0.000 0.000 B
0.500 0.000 0.000 Ru
0.000 0.000 0.500 Rh
0.000 0.500 0.000 Rh
```

(3)
Computed, not measured: crystalline ScNbS2N at its relaxed geometry at the PBE level of DFT.

For the total magnetization, the calculation gives 0.00 μB per cell. The symmetry is P4/mmm. The calculation puts the theoretical density at 3.86 Mg/m³. The value obtained for the total energy is -7.195 eV per atom.

```
ScNbS2N
1.0
4.879 0.000 0.000
0.000 4.879 0.000
0.000 0.000 3.906
Sc Nb S N
1 1 2 1
direct
0.500 0.500 0.500 Sc
0.000 0.000 0.000 Nb
0.000 0.500 0.000 S
0.500 0.000 0.000 S
0.000 0.000 0.500 N
```

(4)
Computed, not measured: crystalline Fe2SiSe at its relaxed geometry at the PBE level of DFT.

For the total magnetization, the calculation gives 1.93 μB per cell. The symmetry is Pmm2. The calculation puts the theoretical density at 7.18 Mg/m³. The value obtained for the total energy is -6.430 eV per atom.

```
Fe2SiSe
1.0
-2.773 -3.192 -1.171
1.770 -0.750 -2.149
1.890 -2.538 2.442
Fe Se Si
2 1 1
direct
0.000 0.875 0.008 Fe
0.500 0.375 0.243 Fe
0.000 0.375 0.488 Se
0.500 0.875 0.761 Si
```

(5)
Computed, not measured: crystalline CaAu2Br at its relaxed geometry at the PBE level of DFT.

For the total magnetization, the calculation gives 0.00 μB per cell. The symmetry is Pm. The calculation puts the theoretical density at 7.91 Mg/m³. The value obtained for the total energy is -3.441 eV per atom.

```
CaAu2Br
1.0
3.898 0.000 0.000
0.000 3.899 -0.005
0.000 -0.129 7.097
Ca Au Br
1 2 1
direct
0.500 0.870 0.758 Ca
0.000 0.883 0.083 Au
0.500 0.383 0.083 Au
0.000 0.364 0.576 Br
```

(6)
Computed, not measured: crystalline KNa5Sr2 at its relaxed geometry at the PBE level of DFT.

For the total magnetization, the calculation gives 0.00 μB per cell. The symmetry is I4/mmm. The calculation puts the theoretical density at 1.52 Mg/m³. The formation energy comes out at 0.032 eV/atom.

```
KNa5Sr2
1.0
-0.660 -5.819 2.150
2.265 -2.239 -5.364
7.783 4.346 5.101
K Na Sr
1 5 2
direct
0.000 0.000 0.000 K
0.500 0.500 0.000 Na
0.879 0.379 0.758 Na
0.379 0.879 0.758 Na
0.121 0.621 0.242 Na
0.621 0.121 0.242 Na
0.746 0.746 0.492 Sr
0.254 0.254 0.508 Sr
```